Density functional theory data (PBE) for crystalline MgPaNiRu at its relaxed geometry.

Structure (POSCAR):
```
MgPaNiRu
1.0
0.000 3.278 3.278
3.278 0.000 3.278
3.278 3.278 0.000
Mg Pa Ni Ru
1 1 1 1
Cartesian
0.000 0.000 0.000
3.278 3.278 3.278
1.639 1.639 1.639
4.917 4.917 4.917
```

- energy of formation from the pure elements (eV per atom) = -0.26
- space-group type = F-43m (216)
- mass density (Mg/m³) = 9.79